PBE-GGA CaLa4Bi2, optimized geometry; energy relative to the elements = 97 meV per atom; N(E_F) = 6.14 states/eV/cell; total magnetic moment = 0.00 μB per formula unit; symmetry = No. 139
1.0
5.464 0.000 0.000
0.000 5.464 0.000
2.732 2.732 8.741
Ca La Bi
1 4 2
direct
0.000 0.000 0.000
0.500 0.000 0.000
0.180 0.180 0.639
0.820 0.820 0.361
0.000 0.500 0.000
0.365 0.365 0.270
0.635 0.635 0.730



PBE-GGA CaAg2Sb2, optimized geometry; N(E_F) = 4.27 states/eV/cell; total magnetic moment = 0.00 μB per formula unit; energy relative to the elements, uncorrected = -0.366 eV per atom; symmetry = No. 63
1.0
4.427 0.000 -0.787
0.000 4.442 0.000
-0.078 0.000 12.409
Ca Sb Ag
2 4 4
direct
0.646 0.750 0.292
0.354 0.250 0.708
0.890 0.750 0.780
0.751 0.250 0.502
0.249 0.750 0.498
0.110 0.250 0.220
0.461 0.750 0.921
0.962 0.250 0.925
0.038 0.750 0.075
0.539 0.250 0.079



PBE-GGA BaAlSnAu3, optimized geometry; energy relative to the elements = -464 meV per atom; N(E_F) = 4.56 states/eV/cell; total magnetic moment = 0.00 μB per formula unit; symmetry = No. 63
1.0
-0.047 -1.902 -6.576
7.093 -0.331 0.045
-3.870 -6.494 1.906
Au Al Sn Ba
6 2 2 2
direct
0.000 0.203 0.000
0.250 0.264 0.529
0.500 0.797 0.000
0.750 0.736 0.471
0.000 0.797 0.000
0.500 0.203 0.000
0.250 0.088 0.177
0.750 0.912 0.823
0.250 0.456 0.913
0.750 0.544 0.087
0.750 0.236 0.471
0.250 0.764 0.529



PBE-GGA AlCdW2, optimized geometry; energy relative to the elements = 399 meV per atom; N(E_F) = 2.13 states/eV/cell; total magnetic moment = 0.00 μB per formula unit; symmetry = No. 47; ΔE to the lowest computed polymorph = 149 meV/atom
1.0
-2.610 0.884 -1.845
-0.552 -4.201 -1.233
-2.758 -0.687 3.572
W Al Cd
2 1 1
direct
0.500 0.500 0.000
0.000 0.000 0.000
0.500 0.000 0.500
0.000 0.500 0.500



PBE-GGA Li2NbPb2, optimized geometry; energy relative to the elements = 132 meV per atom; N(E_F) = 3.28 states/eV/cell; total magnetic moment = 0.00 μB per formula unit; symmetry = No. 127
1.0
-2.853 -2.539 6.785
-6.642 -1.993 -3.539
1.180 -2.892 -0.586
Li Pb Nb
4 4 2
direct
0.618 0.118 0.000
0.118 0.382 0.000
0.382 0.882 0.000
0.882 0.618 0.000
0.680 0.820 0.500
0.320 0.180 0.500
0.820 0.320 0.500
0.180 0.680 0.500
0.500 0.500 0.000
0.000 0.000 0.000



PBE-GGA Ac2Pr5Dy4, optimized geometry; energy relative to the elements = 33 meV per atom; N(E_F) = 16.13 states/eV/cell; total magnetic moment = 0.00 μB per formula unit; symmetry = No. 2
1.0
-5.344 1.975 -2.895
-2.208 -6.168 -7.349
5.053 -3.539 11.832
Pr Ac Dy
5 2 4
direct
0.500 0.000 0.500
0.684 0.816 0.954
0.944 0.545 0.132
0.056 0.455 0.868
0.316 0.184 0.046
0.775 0.730 0.683
0.225 0.270 0.317
0.856 0.639 0.407
0.390 0.090 0.764
0.610 0.910 0.236
0.144 0.361 0.593



PBE-GGA ThBePt3, optimized geometry; energy relative to the elements = -854 meV per atom; N(E_F) = 2.66 states/eV/cell; total magnetic moment = 0.00 μB per formula unit; symmetry = No. 221; ΔE to the lowest computed polymorph = 176 meV/atom
1.0
-4.222 -1.438 0.131
0.082 -0.646 -4.414
1.442 -4.174 0.637
Th Be Pt
1 1 3
direct
0.500 0.500 0.500
0.000 0.000 0.000
0.000 0.000 0.500
0.500 0.000 0.000
0.000 0.500 0.000



PBE-GGA ZrAgSe2, optimized geometry; N(E_F) = 2.35 states/eV/cell; total magnetic moment = 0.00 μB per formula unit; energy relative to the elements, uncorrected = -0.775 eV per atom; symmetry = No. 12
1.0
3.739 0.003 -0.003
1.867 3.240 -0.003
1.442 0.834 7.424
Zr Se Ag
1 2 1
direct
0.750 0.750 0.750
0.025 0.025 0.978
0.475 0.475 0.522
0.250 0.250 0.250